Entry from Alexandria via LeMat-Bulk: Pu2MgHg3 after structural relaxation (PBE).

Computed properties:
**Fermi-level density of states**: 2.38 states/eV/atom
**Calculated density**: 12.86 g cm⁻³
**Formation enthalpy at 0 K**: -0.1643 eV per atom
**Spin magnetization**: 11.809 μB/f.u.
**Calculated volume**: 143.8 Å³ per cell

Cell and atoms, written as CIF:
```
data_Pu2MgHg3
_space_group_name_H-M_alt 'P 4/m m m'
_space_group_IT_number 123
_space_group_name_Hall '-P 4 2'
_cell_length_a 3.3380
_cell_length_b 3.3380
_cell_length_c 12.9098
_cell_angle_alpha 90.00
_cell_angle_beta 90.00
_cell_angle_gamma 90.00
loop_
_atom_site_label
_atom_site_type_symbol
_atom_site_fract_x
_atom_site_fract_y
_atom_site_fract_z
Pu1 Pu 0.0000 0.0000 0.1786
Mg1 Mg 0.0000 0.0000 0.5000
Hg1 Hg 0.5000 0.5000 0.0000
Hg2 Hg 0.5000 0.5000 0.3563
```